The following is a GGA+U calculation of crystalline Na2Tb2CrO6 at its relaxed geometry, from the Alexandria database.

Cell lengths 5.688, 5.688, 5.872 Å; angles 97.48, 97.48, 119.30 degrees
Positions (direct):
Na 0.143 0.857 0.000
Na 0.857 0.143 0.000
Tb 0.336 0.664 0.500
Tb 0.664 0.336 0.500
Cr 0.000 0.000 0.500
O 0.043 0.341 0.688
O 0.242 0.242 0.304
O 0.341 0.043 0.688
O 0.659 0.957 0.312
O 0.758 0.758 0.696
O 0.957 0.659 0.312

## Properties
**Space-group type**: No. 12
**Calculated total energy**: -75.58 eV/f.u.